Material: Ce2ThCo
Method: DFT, GGA-PBE
State: relaxed

Summary:
Its total energy is -26.6 eV for the cell shown. As for the formation energy from the elements: -0.048 eV per atom.

abc: 3.4997 3.4997 7.7804
angles: 90.00 90.00 90.00
Fractional coordinates of all 4 atoms:
Ce (0.0000, 0.0000, 0.1944)
Ce (0.0000, 0.0000, 0.8056)
Th (0.5000, 0.5000, 0.5000)
Co (0.5000, 0.5000, 0.0000)

=====

Material: SbPSe
Method: DFT, GGA-PBE
State: relaxed

Summary:
Its total energy is -25.8 eV for the cell shown. As for the uncorrected formation energy: 0.74 kcal/mol of atoms.

abc: 3.8449 6.6937 7.3706
angles: 85.85 77.51 77.27
Fractional coordinates of all 6 atoms:
Sb (0.0000, 0.0000, 0.0000)
Sb (0.0376, 0.4932, 0.2728)
P (0.3292, 0.9574, 0.2856)
P (0.3972, 0.6689, 0.4552)
Se (0.6572, 0.7636, 0.8596)
Se (0.9485, 0.1757, 0.5018)

=====

Material: LuUBi2
Method: DFT, GGA-PBE
State: relaxed

Summary:
Its total energy is -74.0 eV for the cell shown. As for the formation energy from the elements: -0.277 eV per atom.

abc: 4.3999 4.3999 22.3012
angles: 90.00 90.00 120.00
Fractional coordinates of all 12 atoms:
Lu (0.0000, 0.0000, 0.0000)
Lu (0.3333, 0.6667, 0.6667)
Lu (0.6667, 0.3333, 0.3333)
U (0.0000, 0.0000, 0.5000)
U (0.3333, 0.6667, 0.1667)
U (0.6667, 0.3333, 0.8333)
Bi (0.0000, 0.0000, 0.2530)
Bi (0.0000, 0.0000, 0.7470)
Bi (0.3333, 0.6667, 0.4137)
Bi (0.3333, 0.6667, 0.9196)
Bi (0.6667, 0.3333, 0.0804)
Bi (0.6667, 0.3333, 0.5863)

=====

Material: CsSi2Pd2
Method: DFT, GGA-PBE
State: relaxed

Summary:
Its total energy is -47.5 eV for the cell shown. As for the uncorrected formation energy: -7.71 kcal/mol of atoms.

abc: 4.2103 4.2103 14.5125
angles: 90.00 90.00 90.00
Fractional coordinates of all 10 atoms:
Cs (0.0000, 0.0000, 0.0000)
Cs (0.5000, 0.5000, 0.5000)
Si (0.0000, 0.0000, 0.3331)
Si (0.0000, 0.0000, 0.6669)
Si (0.5000, 0.5000, 0.1669)
Si (0.5000, 0.5000, 0.8331)
Pd (0.0000, 0.5000, 0.2500)
Pd (0.0000, 0.5000, 0.7500)
Pd (0.5000, 0.0000, 0.2500)
Pd (0.5000, 0.0000, 0.7500)

=====

Material: AcTb5NdSm2
Method: DFT, GGA-PBE
State: relaxed

Summary:
Its total energy is -78.0 eV for the cell shown. As for the formation energy from the elements: 0.271 eV per atom.

abc: 10.0313 10.0313 10.0313
angles: 127.06 127.06 78.15
Fractional coordinates of all 18 atoms:
Ac (0.2500, 0.7500, 0.5000)
Ac (0.7500, 0.2500, 0.5000)
Tb (0.0000, 0.0000, 0.0000)
Tb (0.0799, 0.5799, 0.9204)
Tb (0.1595, 0.0799, 0.5000)
Tb (0.3405, 0.8405, 0.9204)
Tb (0.4201, 0.3405, 0.5000)
Tb (0.5000, 0.5000, 0.0000)
Tb (0.5799, 0.6595, 0.5000)
Tb (0.6595, 0.1595, 0.0796)
Tb (0.8405, 0.9201, 0.5000)
Tb (0.9201, 0.4201, 0.0796)
Nd (0.2500, 0.2500, 0.0000)
Nd (0.7500, 0.7500, 0.0000)
Sm (0.1138, 0.3862, 0.5000)
Sm (0.3862, 0.8862, 0.2724)
Sm (0.6138, 0.1138, 0.7276)
Sm (0.8862, 0.6138, 0.5000)

=====

Material: NaNp2NO5
Method: DFT, GGA-PBE
State: relaxed

Summary:
Its total energy is -80.6 eV for the cell shown. As for the uncorrected formation energy: -51.97 kcal/mol of atoms.

abc: 4.1950 4.1950 8.2237
angles: 90.00 90.00 90.00
Fractional coordinates of all 9 atoms:
Na (0.0000, 0.0000, 0.0000)
Np (0.5000, 0.5000, 0.2550)
Np (0.5000, 0.5000, 0.7450)
N (0.5000, 0.5000, 0.5000)
O (0.0000, 0.5000, 0.2343)
O (0.0000, 0.5000, 0.7657)
O (0.5000, 0.0000, 0.2343)
O (0.5000, 0.0000, 0.7657)
O (0.5000, 0.5000, 0.0000)

=====

Material: Y2NiAs
Method: DFT, GGA-PBE
State: relaxed

Summary:
Its total energy is -54.1 eV for the cell shown. As for the formation energy from the elements: -0.924 eV per atom.

abc: 4.0951 3.9530 10.6580
angles: 90.00 90.00 90.00
Fractional coordinates of all 8 atoms:
Y (0.0000, 0.0000, 0.0000)
Y (0.0000, 0.5000, 0.5000)
Y (0.5000, 0.0000, 0.2815)
Y (0.5000, 0.5000, 0.7815)
Ni (0.0000, 0.0000, 0.7221)
Ni (0.0000, 0.5000, 0.2221)
As (0.5000, 0.0000, 0.5687)
As (0.5000, 0.5000, 0.0687)

=====

Material: PrHo2In
Method: DFT, GGA-PBE
State: relaxed

Summary:
Its total energy is -17.6 eV for the cell shown. As for the formation energy from the elements: -0.239 eV per atom.

abc: 3.6167 3.6167 9.2227
angles: 90.00 90.00 90.00
Fractional coordinates of all 4 atoms:
Pr (0.0000, 0.0000, 0.0000)
Ho (0.5000, 0.5000, 0.2794)
Ho (0.5000, 0.5000, 0.7206)
In (0.0000, 0.0000, 0.5000)

=====

Material: Ti5Se2O
Method: DFT, GGA-PBE
State: relaxed

Summary:
Its total energy is -116.6 eV for the cell shown. As for the uncorrected formation energy: -19.90 kcal/mol of atoms.

abc: 6.6645 6.6645 10.6927
angles: 90.00 90.00 142.57
Fractional coordinates of all 16 atoms:
Ti (0.0911, 0.9089, 0.6233)
Ti (0.0911, 0.9089, 0.8767)
Ti (0.2843, 0.7157, 0.2500)
Ti (0.2926, 0.7074, 0.5599)
Ti (0.2926, 0.7074, 0.9401)
Ti (0.7074, 0.2926, 0.0599)
Ti (0.7074, 0.2926, 0.4401)
Ti (0.7157, 0.2843, 0.7500)
Ti (0.9089, 0.0911, 0.1233)
Ti (0.9089, 0.0911, 0.3767)
Se (0.1103, 0.8897, 0.1095)
Se (0.1103, 0.8897, 0.3905)
Se (0.8897, 0.1103, 0.6095)
Se (0.8897, 0.1103, 0.8905)
O (0.2189, 0.7811, 0.7500)
O (0.7811, 0.2189, 0.2500)

=====

Material: Mg2GaGe
Method: DFT, GGA-PBE
State: relaxed

Summary:
Its total energy is -42.2 eV for the cell shown. As for the formation energy from the elements: 0.069 eV per atom.

abc: 4.3309 4.3309 18.4183
angles: 90.00 90.00 90.00
Fractional coordinates of all 16 atoms:
Mg (0.2479, 0.2500, 0.1250)
Mg (0.2500, 0.7479, 0.3750)
Mg (0.2500, 0.7521, 0.8750)
Mg (0.2521, 0.2500, 0.6250)
Mg (0.7479, 0.7500, 0.6250)
Mg (0.7500, 0.2479, 0.8750)
Mg (0.7500, 0.2521, 0.3750)
Mg (0.7521, 0.7500, 0.1250)
Ga (0.0000, 0.0000, 0.0000)
Ga (0.0000, 0.5000, 0.2500)
Ga (0.5000, 0.0000, 0.7500)
Ga (0.5000, 0.5000, 0.5000)
Ge (0.0000, 0.0000, 0.5000)
Ge (0.0000, 0.5000, 0.7500)
Ge (0.5000, 0.0000, 0.2500)
Ge (0.5000, 0.5000, 0.0000)

=====

Material: Sm2Al2Fe15
Method: DFT, GGA-PBE
State: relaxed

Summary:
Its total energy is -145.0 eV for the cell shown. As for the formation energy from the elements: -0.060 eV per atom.

abc: 6.4222 6.4222 6.4222
angles: 81.91 81.91 81.91
Fractional coordinates of all 19 atoms:
Sm (0.1530, 0.1530, 0.1530)
Sm (0.8470, 0.8470, 0.8470)
Al (0.3985, 0.3985, 0.3985)
Al (0.6015, 0.6015, 0.6015)
Fe (0.0000, 0.5000, 0.5000)
Fe (0.1597, 0.1597, 0.6584)
Fe (0.1597, 0.6584, 0.1597)
Fe (0.2054, 0.5000, 0.7946)
Fe (0.2054, 0.7946, 0.5000)
Fe (0.3416, 0.8403, 0.8403)
Fe (0.5000, 0.0000, 0.5000)
Fe (0.5000, 0.2054, 0.7946)
Fe (0.5000, 0.5000, 0.0000)
Fe (0.5000, 0.7946, 0.2054)
Fe (0.6584, 0.1597, 0.1597)
Fe (0.7946, 0.2054, 0.5000)
Fe (0.7946, 0.5000, 0.2054)
Fe (0.8403, 0.3416, 0.8403)
Fe (0.8403, 0.8403, 0.3416)

=====

Material: Ho5TmAl2
Method: DFT, GGA-PBE
State: relaxed

Summary:
Its total energy is -71.0 eV for the cell shown. As for the formation energy from the elements: -0.084 eV per atom.

abc: 3.4790 10.2098 12.3945
angles: 90.00 90.00 90.00
Fractional coordinates of all 16 atoms:
Ho (0.0000, 0.0000, 0.0000)
Ho (0.0000, 0.2725, 0.3638)
Ho (0.0000, 0.2725, 0.6362)
Ho (0.0000, 0.7275, 0.3638)
Ho (0.0000, 0.7275, 0.6362)
Ho (0.5000, 0.2275, 0.1362)
Ho (0.5000, 0.2275, 0.8638)
Ho (0.5000, 0.5000, 0.5000)
Ho (0.5000, 0.7725, 0.1362)
Ho (0.5000, 0.7725, 0.8638)
Tm (0.0000, 0.5000, 0.0000)
Tm (0.5000, 0.0000, 0.5000)
Al (0.0000, 0.0000, 0.2602)
Al (0.0000, 0.0000, 0.7398)
Al (0.5000, 0.5000, 0.2398)
Al (0.5000, 0.5000, 0.7602)